Below is K6Pd2O5 after structural relaxation, with properties calculated at the PBE-GGA level.

Summary:
uncorrected energy = -53.6 eV per formula unit

a = 6.876 Å, b = 11.459 Å, c = 6.651 Å
α = 90.00°, β = 90.90°, γ = 90.00°
Space group Cm (No. 8)
Symmetry-distinct sites (fractional):
K: 0.000 0.000 0.000 x2
K: 0.144 0.292 0.231 x4
K: 0.188 0.262 0.725 x4
K: 0.324 0.000 0.397 x2
Pd: 0.375 0.500 0.513 x2
Pd: 0.452 0.000 0.902 x2
O: 0.137 0.500 0.679 x2
O: 0.319 0.134 0.034 x4
O: 0.450 0.334 0.470 x4